No. 1
Material: Sm4S3O4
Method: DFT, GGA-PBE
State: optimized geometry

Lattice parameters (Å, degrees): 7.633 7.633 7.633 149.77 122.42 66.41
Sites, in units of the cell vectors:
1 Sm 0.224 0.224 0.000
2 Sm 0.252 0.500 0.752
3 Sm 0.748 0.500 0.248
4 Sm 0.776 0.776 0.000
5 S 0.000 0.000 0.000
6 S 0.415 0.915 0.500
7 S 0.585 0.085 0.500
8 O 0.014 0.325 0.689
9 O 0.364 0.675 0.689
10 O 0.636 0.325 0.311
11 O 0.986 0.675 0.311

Properties
crystal system: orthorhombic
symmetry: Immm
E: -7.09 eV per atom
D(E_F): 6.1 states/eV/cell

No. 2
Material: SmSnS2O
Method: DFT, GGA-PBE
State: optimized geometry

Lattice parameters (Å, degrees): 3.878 3.878 14.106 90.00 90.00 90.00
Sites, in units of the cell vectors:
1 Sm 0.250 0.250 0.087
2 Sm 0.750 0.750 0.913
3 Sn 0.250 0.250 0.635
4 Sn 0.750 0.750 0.365
5 S 0.250 0.250 0.399
6 S 0.250 0.250 0.808
7 S 0.750 0.750 0.192
8 S 0.750 0.750 0.601
9 O 0.250 0.750 0.000
10 O 0.750 0.250 0.000

Properties
crystal system: tetragonal
symmetry: P4/nmm
E: -6.08 eV per atom
D(E_F): 1.7 states/eV/cell

No. 3
Material: SrSmS2O8
Method: DFT, GGA-PBE
State: optimized geometry

Lattice parameters (Å, degrees): 5.210 5.210 7.983 90.00 90.00 120.00
Sites, in units of the cell vectors:
1 Sr 0.000 0.000 0.000
2 Sm 0.000 0.000 0.500
3 S 0.333 0.667 0.790
4 S 0.667 0.333 0.210
5 O 0.177 0.354 0.729
6 O 0.177 0.823 0.729
7 O 0.333 0.667 0.975
8 O 0.354 0.177 0.271
9 O 0.646 0.823 0.729
10 O 0.667 0.333 0.025
11 O 0.823 0.177 0.271
12 O 0.823 0.646 0.271

Properties
crystal system: trigonal
symmetry: P-3m1
E: -6.55 eV per atom
D(E_F): 1.8 states/eV/cell

No. 4
Material: Sm2Ta3S2O8
Method: DFT, GGA-PBE
State: optimized geometry

Lattice parameters (Å, degrees): 9.909 11.679 3.789 90.00 90.00 90.00
Sites, in units of the cell vectors:
1 Sm 0.218 0.156 0.000
2 Sm 0.282 0.656 0.000
3 Sm 0.718 0.344 0.000
4 Sm 0.782 0.844 0.000
5 Ta 0.000 0.500 0.500
6 Ta 0.135 0.916 0.500
7 Ta 0.365 0.416 0.500
8 Ta 0.500 0.000 0.500
9 Ta 0.635 0.584 0.500
10 Ta 0.865 0.084 0.500
11 S 0.017 0.352 0.000
12 S 0.483 0.852 0.000
13 S 0.517 0.148 0.000
14 S 0.983 0.648 0.000
15 O 0.058 0.107 0.500
16 O 0.143 0.953 0.000
17 O 0.197 0.527 0.500
18 O 0.217 0.773 0.500
19 O 0.283 0.273 0.500
20 O 0.303 0.027 0.500
21 O 0.357 0.453 0.000
22 O 0.442 0.607 0.500
23 O 0.558 0.393 0.500
24 O 0.643 0.547 0.000
25 O 0.697 0.973 0.500
26 O 0.717 0.727 0.500
27 O 0.783 0.227 0.500
28 O 0.803 0.473 0.500
29 O 0.857 0.047 0.000
30 O 0.942 0.893 0.500

Properties
crystal system: orthorhombic
symmetry: Pbam
E: -8.95 eV per atom
D(E_F): 6.2 states/eV/cell

No. 5
Material: TbSmSO2
Method: DFT, GGA-PBE
State: optimized geometry

Lattice parameters (Å, degrees): 6.646 6.646 6.646 146.51 146.51 48.09
Sites, in units of the cell vectors:
1 Tb 0.000 0.000 0.000
2 Sm 0.304 0.304 0.000
3 S 0.654 0.654 0.000
4 O 0.406 0.906 0.500
5 O 0.906 0.406 0.500

Properties
crystal system: tetragonal
symmetry: I4mm
E: -7.71 eV per atom
D(E_F): 0.0 states/eV/cell

No. 6
Material: Sm2ZnTe2S2O14
Method: DFT, GGA-PBE
State: optimized geometry

Lattice parameters (Å, degrees): 5.382 8.024 8.281 64.24 73.43 86.41
Sites, in units of the cell vectors:
1 Sm 0.087 0.251 0.016
2 Sm 0.913 0.749 0.984
3 Zn 0.000 0.000 0.500
4 Te 0.476 0.733 0.658
5 Te 0.524 0.267 0.342
6 S 0.230 0.753 0.250
7 S 0.770 0.247 0.750
8 O 0.086 0.596 0.259
9 O 0.136 0.775 0.426
10 O 0.178 0.922 0.088
11 O 0.248 0.567 0.891
12 O 0.248 0.926 0.664
13 O 0.281 0.192 0.254
14 O 0.488 0.274 0.786
15 O 0.512 0.726 0.214
16 O 0.719 0.808 0.746
17 O 0.752 0.074 0.336
18 O 0.752 0.433 0.109
19 O 0.822 0.078 0.912
20 O 0.864 0.225 0.574
21 O 0.914 0.404 0.741

Properties
crystal system: triclinic
symmetry: P-1
E: -6.41 eV per atom
D(E_F): 0.0 states/eV/cell

No. 7
Material: SmThS2O
Method: DFT, GGA-PBE
State: optimized geometry

Lattice parameters (Å, degrees): 3.998 3.998 13.826 90.00 90.00 90.00
Sites, in units of the cell vectors:
1 Sm 0.250 0.250 0.084
2 Sm 0.750 0.750 0.916
3 Th 0.250 0.250 0.614
4 Th 0.750 0.750 0.386
5 S 0.250 0.250 0.393
6 S 0.250 0.250 0.804
7 S 0.750 0.750 0.196
8 S 0.750 0.750 0.607
9 O 0.250 0.750 0.000
10 O 0.750 0.250 0.000

Properties
crystal system: tetragonal
symmetry: P4/nmm
E: -7.51 eV per atom
D(E_F): 2.5 states/eV/cell

No. 8
Material: Sm4Ti4S4O9
Method: DFT, GGA-PBE
State: optimized geometry

Lattice parameters (Å, degrees): 9.248 9.248 12.823 132.69 132.69 23.08
Sites, in units of the cell vectors:
1 Sm 0.000 0.000 0.000
2 Sm 0.013 0.013 0.468
3 Sm 0.288 0.288 0.132
4 Sm 0.312 0.312 0.623
5 Ti 0.038 0.038 0.774
6 Ti 0.276 0.276 0.854
7 Ti 0.591 0.591 0.342
8 Ti 0.721 0.721 0.278
9 S 0.464 0.464 0.592
10 S 0.610 0.610 0.966
11 S 0.694 0.694 0.662
12 S 0.862 0.862 0.042
13 O 0.119 0.119 0.410
14 O 0.172 0.172 0.854
15 O 0.195 0.195 0.215
16 O 0.388 0.388 0.871
17 O 0.476 0.476 0.327
18 O 0.567 0.567 0.176
19 O 0.747 0.747 0.447
20 O 0.832 0.832 0.283
21 O 0.922 0.922 0.749

Properties
crystal system: monoclinic
symmetry: Cm
E: -8.13 eV per atom
D(E_F): 4.8 states/eV/cell